VASP calculation (PBE) on a relaxed structure of In2TcPb.

Lattice parameters (Å, degrees): 7.3357 7.3357 4.6609 71.48 71.48 24.30
Last column: nearest neighbours and their distance in Å.
Sites, in units of the cell vectors:
In 0.0643 0.0643 0.9353  2 Tc 2.95, 6 In 3.09-3.30
In 0.4357 0.4357 0.5647  2 Tc 2.95, 6 In 3.09-3.30
Pb 0.2500 0.2500 0.2500  4 Tc 2.80, 2 Pb 3.09
Tc 0.7500 0.7500 0.7500  4 Pb 2.80, 4 In 2.95, 2 Tc 3.09

## Properties
For the calculated volume, the calculation gives 98 Å³/cell. The calculation puts the total DFT energy (no corrections) at -4.54 eV per atom. Its symmetry is Immm.